No. 1
Material: Pr4Ho5Tm4
Method: DFT, GGA-PBE
State: optimized geometry

```
Pr4Ho5Tm4
1.0
4.889 0.000 1.243
2.444 9.116 0.622
0.198 0.000 9.456
Pr Ho Tm
4 5 4
direct
0.381 0.698 0.540
0.921 0.460 0.698
0.619 0.302 0.460
0.079 0.540 0.302
0.000 0.000 0.000
0.460 0.228 0.851
0.540 0.772 0.149
0.689 0.851 0.772
0.311 0.149 0.228
0.847 0.924 0.382
0.229 0.618 0.924
0.771 0.382 0.076
0.153 0.076 0.618
```

As for the energy of formation: 26 meV per atom.



No. 2
Material: KNp4Pt3S12
Method: DFT, GGA-PBE
State: optimized geometry

```
KNp4Pt3S12
1.0
-1.895 2.037 -7.972
0.177 -8.404 0.791
-5.848 3.192 5.187
S K Pt Np
12 1 3 4
direct
0.841 0.680 0.161
0.159 0.320 0.839
0.839 0.159 0.320
0.320 0.161 0.481
0.161 0.481 0.320
0.680 0.839 0.519
0.161 0.841 0.680
0.519 0.680 0.839
0.320 0.839 0.159
0.481 0.320 0.161
0.680 0.161 0.841
0.839 0.519 0.680
0.000 0.000 0.000
0.500 0.500 0.000
0.500 0.000 0.500
0.000 0.500 0.500
0.000 0.500 0.000
0.500 0.500 0.500
0.000 0.000 0.500
0.500 0.000 0.000
```

As for the energy relative to the elements, uncorrected: -0.8559 eV/atom.



No. 3
Material: CePuAlAu
Method: DFT, GGA-PBE
State: optimized geometry

```
CePuAlAu
1.0
-4.240 -0.417 -2.627
-3.675 -2.978 1.637
-4.240 1.994 1.760
Al Ce Au Pu
1 1 1 1
direct
0.000 0.000 0.000
0.500 0.500 0.500
0.750 0.750 0.750
0.250 0.250 0.250
```

The distance to the lowest polymorph of the same formula comes out at 0 meV/atom. As for the energy of formation: -276 meV per atom.



No. 4
Material: Ba2AgIr
Method: DFT, GGA-PBE
State: optimized geometry

```
Ba2AgIr
1.0
4.788 0.000 0.000
0.000 4.594 0.001
0.000 2.295 5.864
Ir Ba Ag
1 2 1
direct
0.000 0.686 0.503
0.000 0.986 0.904
0.500 0.265 0.345
0.500 0.564 0.748
```

The distance to the lowest polymorph of the same formula comes out at 0 meV/atom. As for the energy of formation: -89 meV per atom.



Number 1: total moment 0.000 Bohr magnetons per cell, electronic total energy -4.58 eV/atom. Number 2: total moment 11.000 Bohr magnetons per cell, electronic total energy -6.88 eV/atom. Number 3: total moment 7.941 Bohr magnetons per cell, electronic total energy -7.10 eV/atom. Number 4: total moment 0.000 Bohr magnetons per cell, electronic total energy -3.98 eV/atom.